# 1
Material: CoB2Br
Method: DFT, PBE
State: optimized geometry

Computed properties:
Total moment, μB/cell: 0.0
Formation energy from raw total energies, meV/atom: 956
Symmetry: No. 122
Energy above the most stable polymorph in this dataset, meV/atom: 0

Cell: 4.808 4.808 6.177 Å, 67.10 67.10 90.00°
Element x y z (fractional)
B 0.375 0.483 0.750
Co 0.500 0.500 0.000
Co 0.250 0.750 0.500
Br 0.750 0.250 0.500
B 0.875 0.767 0.750
B 0.233 0.625 0.250
B 0.517 0.125 0.250
Br 0.000 0.000 0.000

---

# 2
Material: Pm3Nd2Tm8
Method: DFT, PBE
State: optimized geometry

Computed properties:
Total moment, μB/cell: 0.0
Symmetry: No. 12
Energy above the most stable polymorph in this dataset, meV/atom: 20

Cell: 5.551 7.647 10.943 Å, 110.45 90.01 90.00°
Element x y z (fractional)
Tm 0.500 0.180 0.783
Tm 0.000 0.664 0.327
Tm 0.500 0.820 0.217
Pm 0.000 0.293 0.000
Pm 0.500 0.000 0.000
Tm 0.000 0.130 0.260
Tm 0.000 0.336 0.673
Tm 0.000 0.870 0.740
Pm 0.000 0.707 0.000
Nd 0.501 0.760 0.519
Nd 0.499 0.240 0.481
Tm 0.500 0.397 0.217
Tm 0.500 0.603 0.783

---

# 3
Material: HfCr2Re
Method: DFT, PBE
State: optimized geometry

Computed properties:
Total moment, μB/cell: 0.0
Symmetry: No. 122
Energy above the most stable polymorph in this dataset, meV/atom: 676

Cell: 6.955 6.955 5.601 Å, 51.62 51.62 90.00°
Element x y z (fractional)
Hf 0.500 0.500 0.000
Re 0.000 0.000 0.000
Hf 0.250 0.750 0.500
Cr 0.875 0.910 0.750
Cr 0.375 0.340 0.750
Re 0.750 0.250 0.500
Cr 0.090 0.625 0.250
Cr 0.660 0.125 0.250